No. 1
The following is a DFT calculation (PBEsol) of K4Pb after structural relaxation.

Results
Formation energy from the elements (eV/atom): -0.02
D(E_F) (states/eV per cell): 4.052
Uncorrected energy (eV per atom): -1.7239

a b c (Å): 8.3467 8.3467 8.3467
angles (deg): 90.00 90.00 90.00
Atoms (fractional coordinates):
K 0.2500 0.2500 0.2500
K 0.2500 0.2500 0.7500
K 0.2500 0.7500 0.2500
K 0.2500 0.7500 0.7500
K 0.7500 0.2500 0.2500
K 0.7500 0.2500 0.7500
K 0.7500 0.7500 0.2500
K 0.7500 0.7500 0.7500
Pb 0.0000 0.0000 0.0000
Pb 0.5000 0.5000 0.5000


No. 2
The following is a DFT calculation (PBEsol) of KPb2 after structural relaxation.

Results
Formation energy from the elements (eV/atom): -0.17
D(E_F) (states/eV per cell): 1.408
Uncorrected energy (eV per atom): -3.2174
Energy above the lowest structure with this stoichiometry (meV per atom): 6

a b c (Å): 6.6148 6.6148 6.6148
angles (deg): 60.00 60.00 60.00
Atoms (fractional coordinates):
K 0.1250 0.1250 0.1250
K 0.8750 0.8750 0.8750
Pb 0.0000 0.5000 0.5000
Pb 0.5000 0.0000 0.5000
Pb 0.5000 0.5000 0.0000
Pb 0.5000 0.5000 0.5000